The following is a DFT calculation (PBE) of a geometry-optimized PrSnAu4 structure.

E above lowest polymorph	0	meV/atom
final energy	-24.4	eV/f.u.
energy of formation	-415.7	meV per atom
space-group type	C2/m, No. 12

Cell: 6.595 6.834 6.595 Å, 77.23 74.02 77.23°
Sites, in units of the cell vectors:
Au 0.851 0.274 0.851
Au 0.563 0.433 0.196
Au 0.196 0.433 0.563
Au 0.762 0.000 0.238
Au 0.804 0.567 0.437
Au 0.437 0.567 0.804
Au 0.149 0.726 0.149
Au 0.238 0.000 0.762
Pr 0.842 0.757 0.842
Pr 0.158 0.243 0.158
Sn 0.398 0.806 0.398
Sn 0.602 0.194 0.602